# 1
Here is MgZn2 after structural relaxation from OQMD. Energies are from GGA-PBE.

The value obtained for the volume is 16.85 A^3/atom. The total energy comes out at -1.373 eV/atom.

```
data_MgZn2
_chemical_formula_sum 'Mg8 Zn16'
_cell_length_a 7.4923
_cell_length_b 4.7527
_cell_length_c 11.5524
_cell_angle_alpha 90.00
_cell_angle_beta 100.61
_cell_angle_gamma 90.00
_symmetry_space_group_name_H-M 'P 1 21/m 1'
_symmetry_Int_Tables_number 11
loop_
_symmetry_equiv_pos_as_xyz
'x,y,z'
'-x,-y,-z'
'-x,y+1/2,-z'
'x,-y+1/2,z'
loop_
_atom_site_label
_atom_site_type_symbol
_atom_site_fract_x
_atom_site_fract_y
_atom_site_fract_z
Mg1 Mg 0.1200 0.2500 0.2598
Mg2 Mg 0.1295 0.2500 0.7680
Mg3 Mg 0.2313 0.7500 0.4126
Mg4 Mg 0.2592 0.7500 0.1440
Zn1 Zn 0.0979 0.2500 0.0120
Zn2 Zn 0.1086 0.2500 0.5124
Zn3 Zn 0.2117 0.7500 0.6519
Zn4 Zn 0.2223 0.7500 0.8995
Zn5 Zn 0.4264 0.2500 0.9572
Zn6 Zn 0.4336 0.2500 0.6613
Zn7 Zn 0.4448 0.2500 0.4262
Zn8 Zn 0.4746 0.2500 0.1954
```

=====

# 2
Here is MgZn after structural relaxation from OQMD. Energies are from GGA-PBE.

The value obtained for the volume is 18.07 A^3/atom. The total energy comes out at -1.418 eV/atom.

```
data_MgZn
_chemical_formula_sum 'Mg6 Zn6'
_cell_length_a 6.0491
_cell_length_b 4.8315
_cell_length_c 7.5662
_cell_angle_alpha 90.00
_cell_angle_beta 101.27
_cell_angle_gamma 90.00
_symmetry_space_group_name_H-M 'P 1 21/m 1'
_symmetry_Int_Tables_number 11
loop_
_symmetry_equiv_pos_as_xyz
'x,y,z'
'-x,-y,-z'
'-x,y+1/2,-z'
'x,-y+1/2,z'
loop_
_atom_site_label
_atom_site_type_symbol
_atom_site_fract_x
_atom_site_fract_y
_atom_site_fract_z
Mg1 Mg 0.0302 0.2500 0.1251
Mg2 Mg 0.1997 0.2500 0.7652
Mg3 Mg 0.3148 0.7500 0.2270
Zn1 Zn 0.1487 0.7500 0.5532
Zn2 Zn 0.3751 0.2500 0.4383
Zn3 Zn 0.4718 0.7500 0.8883
```

=====

# 3
Here is MgZn after structural relaxation from OQMD. Energies are from GGA-PBE.

The value obtained for the volume is 17.88 A^3/atom. The total energy comes out at -1.438 eV/atom.

```
data_MgZn
_chemical_formula_sum 'Mg5 Zn5'
_cell_length_a 4.9315
_cell_length_b 4.7285
_cell_length_c 8.0504
_cell_angle_alpha 90.00
_cell_angle_beta 107.76
_cell_angle_gamma 90.00
_symmetry_space_group_name_H-M 'P 1 m 1'
_symmetry_Int_Tables_number 6
loop_
_symmetry_equiv_pos_as_xyz
'x,y,z'
'x,-y,z'
loop_
_atom_site_label
_atom_site_type_symbol
_atom_site_fract_x
_atom_site_fract_y
_atom_site_fract_z
Mg1 Mg 0.0000 0.0000 0.0000
Mg2 Mg 0.0280 0.5000 0.7883
Mg3 Mg 0.4053 0.5000 0.5723
Mg4 Mg 0.6208 0.5000 0.0041
Mg5 Mg 0.7886 0.0000 0.5766
Zn1 Zn 0.1591 0.0000 0.3720
Zn2 Zn 0.2309 0.5000 0.1958
Zn3 Zn 0.3951 0.0000 0.7880
Zn4 Zn 0.5754 0.0000 0.2045
Zn5 Zn 0.8238 0.5000 0.3807
```

=====

> Among the records above, which one has the highest total energy?

MgZn2